a | YPCS2 after structural relaxation. Source: the Alexandria database, functional PBE-GGA.

Cell lengths 5.209, 5.209, 5.474 Å; angles 90.00, 90.00, 90.00 degrees
Space group P4/mmm (No. 123)
Unique sites:
Y  0.000  0.000  0.000 (multiplicity 1)
P  0.000  0.000  0.500 (multiplicity 1)
C  0.500  0.500  0.500 (multiplicity 1)
S  0.000  0.500  0.000 (multiplicity 2)

## Properties
Total moment   2.21 μB/f.u.
V   148.6 Å³ per cell

---

b | YPCS2 after structural relaxation. Source: the Alexandria database, functional PBE-GGA.

Cell lengths 4.562, 4.562, 3.830 Å; angles 90.00, 90.00, 90.00 degrees
Space group P4/mmm (No. 123)
Unique sites:
Y  0.000  0.000  0.000 (multiplicity 1)
P  0.500  0.500  0.000 (multiplicity 1)
C  0.500  0.500  0.500 (multiplicity 1)
S  0.000  0.500  0.500 (multiplicity 2)

## Properties
Total moment   0.00 μB/f.u.
V   79.7 Å³ per cell

---

Order from most stable to least stable according to the calculation: b, a

---

a | Sb2PC after structural relaxation. Source: the Alexandria database, functional PBE-GGA.

Cell lengths 6.593, 6.593, 6.593 Å; angles 90.00, 90.00, 90.00 degrees
Space group Fm-3m (No. 225)
Unique sites:
Sb  0.250  0.250  0.250 (multiplicity 8)
P  0.000  0.000  0.000 (multiplicity 4)
C  0.000  0.000  0.500 (multiplicity 4)

## Properties
Total moment   0.00 μB/f.u.
V   286.6 Å³ per cell

---

b | Sb2PC after structural relaxation. Source: the Alexandria database, functional PBE-GGA.

Cell lengths 6.334, 6.334, 8.389 Å; angles 90.00, 90.00, 90.00 degrees
Space group I-42d (No. 122)
Unique sites:
Sb  0.196  0.750  0.125 (multiplicity 8)
P  0.000  0.000  0.500 (multiplicity 4)
C  0.000  0.000  0.000 (multiplicity 4)

## Properties
Total moment   0.00 μB/f.u.
V   336.5 Å³ per cell

---

Order from most stable to least stable according to the calculation: b, a

---

a | SbP2C after structural relaxation. Source: the Alexandria database, functional PBE-GGA.

Cell lengths 6.329, 6.329, 6.329 Å; angles 90.00, 90.00, 90.00 degrees
Space group Fm-3m (No. 225)
Unique sites:
Sb  0.000  0.000  0.000 (multiplicity 4)
P  0.250  0.250  0.250 (multiplicity 8)
C  0.000  0.000  0.500 (multiplicity 4)

## Properties
Total moment   0.00 μB/f.u.
V   253.5 Å³ per cell

---

b | SbP2C after structural relaxation. Source: the Alexandria database, functional PBE-GGA.

Cell lengths 5.907, 5.907, 7.594 Å; angles 90.00, 90.00, 90.00 degrees
Space group I-42d (No. 122)
Unique sites:
Sb  0.000  0.000  0.000 (multiplicity 4)
P  0.136  0.250  0.625 (multiplicity 8)
C  0.000  0.000  0.500 (multiplicity 4)

## Properties
Total moment   0.00 μB/f.u.
V   265.0 Å³ per cell

---

Order from most stable to least stable according to the calculation: b, a

---

a | SbPC2 after structural relaxation. Source: the Alexandria database, functional PBE-GGA.

Cell lengths 5.835, 5.835, 5.835 Å; angles 90.00, 90.00, 90.00 degrees
Space group Fm-3m (No. 225)
Unique sites:
Sb  0.000  0.000  0.000 (multiplicity 4)
P  0.000  0.000  0.500 (multiplicity 4)
C  0.250  0.250  0.250 (multiplicity 8)

## Properties
Total moment   0.00 μB/f.u.
V   198.7 Å³ per cell

---

b | SbPC2 after structural relaxation. Source: the Alexandria database, functional PBE-GGA.

Cell lengths 5.266, 5.266, 7.665 Å; angles 90.00, 90.00, 90.00 degrees
Space group I-42d (No. 122)
Unique sites:
Sb  0.000  0.000  0.000 (multiplicity 4)
P  0.000  0.000  0.500 (multiplicity 4)
C  0.142  0.250  0.625 (multiplicity 8)

## Properties
Total moment   0.00 μB/f.u.
V   212.6 Å³ per cell

---

Order from most stable to least stable according to the calculation: b, a